A:
AcSbAs | Alexandria via LeMat-Bulk | PBE | optimized geometry; SG = I4mm, No. 107; magnetic moment = 0.001 μB per formula unit
1.0
-2.018 2.018 5.366
2.018 -2.018 5.366
2.018 2.018 -5.366
Ac Sb As
1 1 1
direct
0.000 0.000 0.000
0.696 0.696 0.000
0.300 0.300 0.000

B:
AcSbAs | Alexandria via LeMat-Bulk | PBE | optimized geometry; SG = P-6m2, No. 187; magnetic moment = 0.000 μB per formula unit
1.0
4.914 0.000 0.000
-2.457 4.256 0.000
0.000 0.000 4.280
Ac Sb As
1 1 1
direct
0.000 0.000 0.000
0.667 0.333 0.500
0.333 0.667 0.500

The relative energies come out as A 179; B 0, with values in meV per atom.

A:
AcSbAs | Alexandria via LeMat-Bulk | PBE | optimized geometry; SG = Cmcm, No. 63; magnetic moment = 0.000 μB per formula unit
1.0
2.213 -8.903 0.000
2.213 8.903 0.000
0.000 0.000 4.634
Ac Sb As
2 2 2
direct
0.101 0.899 0.750
0.899 0.101 0.250
0.248 0.752 0.250
0.752 0.248 0.750
0.466 0.534 0.750
0.534 0.466 0.250

B:
AcSbAs | Alexandria via LeMat-Bulk | PBE | optimized geometry; SG = F-43m, No. 216; magnetic moment = 0.000 μB per formula unit
1.0
0.000 3.775 3.775
3.775 0.000 3.775
3.775 3.775 0.000
Ac Sb As
1 1 1
direct
0.000 0.000 0.000
0.750 0.750 0.750
0.250 0.250 0.250

The relative energies come out as A 0; B 580, with values in meV per atom.

A:
AcSb2As | Alexandria via LeMat-Bulk | PBE | optimized geometry; SG = R-3m, No. 166; magnetic moment = 0.000 μB per formula unit
1.0
2.586 1.493 5.264
-2.586 1.493 5.264
0.000 -2.986 5.264
Ac Sb As
1 2 1
direct
0.000 0.000 0.000
0.213 0.213 0.213
0.787 0.787 0.787
0.500 0.500 0.500

B:
AcSb2As | Alexandria via LeMat-Bulk | PBE | optimized geometry; SG = P4/mmm, No. 123; magnetic moment = 0.000 μB per formula unit
1.0
4.612 0.000 0.000
0.000 4.612 0.000
0.000 0.000 5.264
Ac Sb As
1 2 1
direct
0.000 0.000 0.000
0.000 0.500 0.500
0.500 0.000 0.500
0.500 0.500 0.000

The relative energies come out as A 234; B 0, with values in meV per atom.

A:
Ac2SbAs | Alexandria via LeMat-Bulk | PBE | optimized geometry; SG = Fm-3m, No. 225; magnetic moment = 0.000 μB per formula unit
1.0
0.000 3.995 3.995
3.995 0.000 3.995
3.995 3.995 0.000
Ac Sb As
2 1 1
direct
0.250 0.250 0.250
0.750 0.750 0.750
0.000 0.000 0.000
0.500 0.500 0.500

B:
Ac2SbAs | Alexandria via LeMat-Bulk | PBE | optimized geometry; SG = P6_3/mmc, No. 194; magnetic moment = 0.000 μB per formula unit
1.0
4.647 0.000 0.000
-2.324 4.025 0.000
0.000 0.000 15.699
Ac Sb As
4 2 2
direct
0.333 0.667 0.116
0.333 0.667 0.384
0.667 0.333 0.616
0.667 0.333 0.884
0.333 0.667 0.750
0.667 0.333 0.250
0.000 0.000 0.000
0.000 0.000 0.500

C:
Ac2SbAs | Alexandria via LeMat-Bulk | PBE | optimized geometry; SG = Pmmn, No. 59; magnetic moment = 0.000 μB per formula unit
1.0
4.656 0.000 0.000
0.000 6.628 0.000
0.000 0.000 9.382
Ac Sb As
4 2 2
direct
0.250 0.250 0.114
0.250 0.250 0.638
0.750 0.750 0.362
0.750 0.750 0.886
0.250 0.750 0.626
0.750 0.250 0.374
0.250 0.750 0.122
0.750 0.250 0.878

D:
Ac2SbAs | Alexandria via LeMat-Bulk | PBE | optimized geometry; SG = R3m, No. 160; magnetic moment = 0.000 μB per formula unit
1.0
2.302 1.329 7.950
-2.302 1.329 7.950
0.000 -2.658 7.950
Ac Sb As
2 1 1
direct
0.000 0.000 0.000
0.179 0.179 0.179
0.422 0.422 0.422
0.591 0.591 0.591

The relative energies come out as A 320; B 57; C 0; D 95, with values in meV per atom.

A:
Ac2SbAs | Alexandria via LeMat-Bulk | PBE | optimized geometry; SG = R-3m, No. 166; magnetic moment = 0.000 μB per formula unit
1.0
2.333 1.347 7.664
-2.333 1.347 7.664
0.000 -2.694 7.664
Ac Sb As
2 1 1
direct
0.245 0.245 0.245
0.755 0.755 0.755
0.000 0.000 0.000
0.500 0.500 0.500

B:
Ac2SbAs | Alexandria via LeMat-Bulk | PBE | optimized geometry; SG = P4/mmm, No. 123; magnetic moment = 0.000 μB per formula unit
1.0
3.929 0.000 0.000
0.000 3.929 0.000
0.000 0.000 8.155
Ac Sb As
2 1 1
direct
0.000 0.000 0.231
0.000 0.000 0.769
0.500 0.500 0.500
0.500 0.500 0.000

The relative energies come out as A 0; B 299, with values in meV per atom.

A:
AcAsSe3 | Alexandria via LeMat-Bulk | PBE | optimized geometry; SG = Pna2_1, No. 33; magnetic moment = 0.000 μB per formula unit
1.0
7.965 0.000 0.000
0.000 6.978 0.000
0.000 0.000 10.246
Ac As Se
4 4 12
direct
0.110 0.043 0.000
0.390 0.543 0.500
0.610 0.457 0.000
0.890 0.957 0.500
0.045 0.537 0.218
0.455 0.037 0.718
0.545 0.963 0.218
0.955 0.463 0.718
0.021 0.377 0.492
0.181 0.830 0.299
0.195 0.839 0.693
0.305 0.339 0.193
0.319 0.330 0.799
0.479 0.877 0.992
0.521 0.123 0.492
0.681 0.670 0.299
0.695 0.661 0.693
0.805 0.161 0.193
0.819 0.170 0.799
0.979 0.623 0.992

B:
AcAsSe3 | Alexandria via LeMat-Bulk | PBE | optimized geometry; SG = P2_1/c, No. 14; magnetic moment = 0.000 μB per formula unit
1.0
9.666 0.000 0.000
0.000 8.343 0.000
-4.344 0.000 8.391
Ac As Se
4 4 12
direct
0.118 0.222 0.064
0.118 0.278 0.564
0.882 0.722 0.436
0.882 0.778 0.936
0.280 0.581 0.385
0.280 0.919 0.885
0.720 0.081 0.115
0.720 0.419 0.615
0.005 0.008 0.292
0.005 0.492 0.792
0.241 0.630 0.617
0.241 0.870 0.117
0.367 0.198 0.926
0.367 0.302 0.426
0.633 0.698 0.574
0.633 0.802 0.074
0.759 0.130 0.883
0.759 0.370 0.383
0.995 0.508 0.208
0.995 0.992 0.708

The relative energies come out as A 0; B 8, with values in meV per atom.